First-principles (GGA+U) data for a relaxed structure of DyMnCr2O8, as listed in Alexandria via LeMat-Bulk.

The structure in POSCAR format:
```
DyMnCr2O8
1.0
-3.539 3.539 3.136
3.539 -3.539 3.136
3.539 3.539 -3.136
Dy Mn Cr O
1 1 2 8
direct
0.000 0.000 0.000
0.750 0.250 0.500
0.250 0.750 0.500
0.500 0.500 0.000
0.088 0.403 0.314
0.088 0.774 0.686
0.135 0.324 0.811
0.226 0.912 0.314
0.513 0.324 0.189
0.597 0.912 0.686
0.676 0.487 0.811
0.676 0.865 0.189
```

**N(E_F)**: 0.313 states/eV/f.u.
**Crystal system**: tetragonal
**Calculated density**: 4.75 g cm⁻³
**E_tot**: -88.70 eV per formula unit
**Space group**: I-4m2